# Ti8Al2Ir GGA-PBE relaxed
# Formation energy: -340 kJ/mol of formula units
# Calculated volume: 370 Å³ per cell
data_Ti8Al2Ir
_chemical_formula_sum 'Ti16 Al4 Ir2'
_space_group_name_H-M_alt 'I m m m'
_space_group_IT_number 71
_space_group_name_Hall '-I 2 2'
_cell_length_a 4.500
_cell_length_b 6.188
_cell_length_c 13.286
_cell_angle_alpha 90.00
_cell_angle_beta 90.00
_cell_angle_gamma 90.00
loop_
_atom_site_label
_atom_site_fract_x
_atom_site_fract_y
_atom_site_fract_z
Ti1 0.000 0.000 0.175
Ti2 0.000 0.228 0.361
Ti3 0.000 0.268 0.000
Al1 0.000 0.500 0.189
Ir1 0.000 0.500 0.500